This record from Alexandria via LeMat-Bulk describes BaMgSc2 after structural relaxation. The functional is PBE-GGA.

Unit cell a=3.7126 b=3.7126 c=9.0417 alpha=90.00 beta=90.00 gamma=90.00
Space group P4mm (No. 99)
Asymmetric unit:
Ba: 0.0000 0.0000 0.0000 [1 per cell]
Mg: 0.5000 0.5000 0.2975 [1 per cell]
Sc: 0.0000 0.0000 0.4820 [1 per cell]
Sc: 0.5000 0.5000 0.6790 [1 per cell]

Output
Total energy ... -3.912 eV/atom
ΔH_f (0 K) ... 0.133 eV per atom
Crystal system ... tetragonal



This record from Alexandria via LeMat-Bulk describes ScV2H2 after structural relaxation. The functional is PBE-GGA.

Unit cell a=3.3594 b=3.3594 c=9.7773 alpha=90.00 beta=90.00 gamma=90.00
Space group I4/mmm (No. 139)
Asymmetric unit:
Sc: 0.0000 0.0000 0.0000 [2 per cell]
V: 0.0000 0.0000 0.3169 [4 per cell]
H: 0.0000 0.5000 0.2500 [4 per cell]

Output
Total energy ... -6.335 eV/atom
Crystal system ... tetragonal



This record from Alexandria via LeMat-Bulk describes SmScGaTc after structural relaxation. The functional is PBE-GGA.

Unit cell a=6.8786 b=6.8786 c=6.8786 alpha=90.00 beta=90.00 gamma=90.00
Space group F-43m (No. 216)
Asymmetric unit:
Sm: 0.0000 0.0000 0.0000 [4 per cell]
Sc: 0.0000 0.0000 0.5000 [4 per cell]
Ga: 0.2500 0.2500 0.2500 [4 per cell]
Tc: 0.2500 0.2500 0.7500 [4 per cell]

Output
Total energy ... -6.339 eV/atom
ΔH_f (0 K) ... -0.228 eV per atom
Crystal system ... cubic



This record from Alexandria via LeMat-Bulk describes PrNdY4 after structural relaxation. The functional is PBE-GGA.

Unit cell a=10.8804 b=6.2800 c=12.2530 alpha=90.00 beta=107.11 gamma=90.00
Space group C2/c (No. 15)
Asymmetric unit:
Pr: 0.0000 0.0810 0.2500 [4 per cell]
Nd: 0.2500 0.2500 0.5000 [4 per cell]
Y: 0.0839 0.2515 0.0001 [8 per cell]
Y: 0.1662 0.4168 0.7499 [8 per cell]

Output
Total energy ... -5.895 eV/atom
ΔH_f (0 K) ... 0.006 eV per atom
Offset from the most stable computed form ... 0 meV per atom
Crystal system ... monoclinic



This record from Alexandria via LeMat-Bulk describes Zn12Sn3Pb5 after structural relaxation. The functional is PBE-GGA.

Unit cell a=16.1250 b=16.1250 c=16.1250 alpha=90.00 beta=90.00 gamma=90.00
Space group Ia-3d (No. 230)
Asymmetric unit:
Zn: 0.0092 0.0827 0.6558 [96 per cell]
Sn: 0.0000 0.2500 0.1250 [24 per cell]
Pb: 0.0000 0.0000 0.0000 [16 per cell]
Pb: 0.0000 0.2500 0.3750 [24 per cell]

Output
Total energy ... -2.026 eV/atom
ΔH_f (0 K) ... 0.266 eV per atom
Crystal system ... cubic



This record from Alexandria via LeMat-Bulk describes RbMnSn2I8 after structural relaxation. The functional is PBE-GGA.

Unit cell a=7.8354 b=8.1982 c=9.5575 alpha=76.58 beta=72.97 gamma=89.10
Space group P-1 (No. 2)
Asymmetric unit:
Rb: 0.0000 0.0000 0.0000 [1 per cell]
Mn: 0.0000 0.0000 0.5000 [1 per cell]
Sn: 0.4633 0.3520 0.2439 [2 per cell]
I: 0.1382 0.2602 0.5666 [2 per cell]
I: 0.1727 0.7824 0.6632 [2 per cell]
I: 0.2424 0.5768 0.0680 [2 per cell]
I: 0.3350 0.0349 0.2143 [2 per cell]

Output
Total energy ... -3.113 eV/atom
Formation energy without anion corrections ... -0.567 eV per atom
Crystal system ... triclinic



This record from Alexandria via LeMat-Bulk describes Sr4Ru6O19 after structural relaxation. The functional is PBE-GGA.

Unit cell a=9.3392 b=9.3392 c=9.3392 alpha=90.00 beta=90.00 gamma=90.00
Space group I23 (No. 197)
Asymmetric unit:
Sr: 0.1496 0.1496 0.8504 [8 per cell]
Ru: 0.0000 0.3354 0.5000 [12 per cell]
O: 0.0000 0.0000 0.0000 [2 per cell]
O: 0.0000 0.0000 0.3688 [12 per cell]
O: 0.0024 0.3364 0.2892 [24 per cell]

Output
Total energy ... -6.916 eV/atom
Formation energy without anion corrections ... -1.517 eV per atom
Crystal system ... cubic



This record from Alexandria via LeMat-Bulk describes Ni2TePb after structural relaxation. The functional is PBE-GGA.

Unit cell a=6.6567 b=6.6567 c=6.6567 alpha=90.00 beta=90.00 gamma=90.00
Space group Fm-3m (No. 225)
Asymmetric unit:
Ni: 0.2500 0.2500 0.2500 [8 per cell]
Te: 0.0000 0.0000 0.0000 [4 per cell]
Pb: 0.0000 0.0000 0.5000 [4 per cell]

Output
Total energy ... -4.337 eV/atom
Formation energy without anion corrections ... 0.267 eV per atom
Offset from the most stable computed form ... 350 meV per atom
Crystal system ... cubic



This record from Alexandria via LeMat-Bulk describes SrTm2Ru after structural relaxation. The functional is PBE-GGA.

Unit cell a=3.4354 b=3.4354 c=9.7720 alpha=90.00 beta=90.00 gamma=90.00
Space group P4/mmm (No. 123)
Asymmetric unit:
Sr: 0.0000 0.0000 0.0000 [1 per cell]
Tm: 0.5000 0.5000 0.3366 [2 per cell]
Ru: 0.0000 0.0000 0.5000 [1 per cell]

Output
Total energy ... -5.189 eV/atom
ΔH_f (0 K) ... -0.213 eV per atom
Crystal system ... tetragonal



This record from Alexandria via LeMat-Bulk describes ScTiPCl2 after structural relaxation. The functional is PBE-GGA.

Unit cell a=4.6062 b=4.6062 c=5.0838 alpha=90.00 beta=90.00 gamma=90.00
Space group P4/mmm (No. 123)
Asymmetric unit:
Sc: 0.0000 0.0000 0.0000 [1 per cell]
Ti: 0.5000 0.5000 0.5000 [1 per cell]
P: 0.5000 0.5000 0.0000 [1 per cell]
Cl: 0.0000 0.5000 0.5000 [2 per cell]

Output
Total energy ... -5.315 eV/atom
Formation energy without anion corrections ... -0.649 eV per atom
Offset from the most stable computed form ... 0 meV per atom
Crystal system ... tetragonal



This record from Alexandria via LeMat-Bulk describes Pr4Sm7In after structural relaxation. The functional is PBE-GGA.

Unit cell a=16.3503 b=6.0580 c=9.4730 alpha=90.00 beta=116.08 gamma=90.00
Space group C2/m (No. 12)
Asymmetric unit:
Pr: 0.0972 0.0000 0.4853 [4 per cell]
Pr: 0.2288 0.0000 0.2727 [4 per cell]
Sm: 0.0000 0.0000 0.0000 [2 per cell]
Sm: 0.0658 0.5000 0.7240 [4 per cell]
Sm: 0.1574 0.5000 0.3377 [4 per cell]
Sm: 0.2205 0.0000 0.8981 [4 per cell]
In: 0.0000 0.5000 0.0000 [2 per cell]

Output
Total energy ... -4.454 eV/atom
ΔH_f (0 K) ... 0.120 eV per atom
Crystal system ... monoclinic



This record from Alexandria via LeMat-Bulk describes K2BaPuCl6 after structural relaxation. The functional is PBE-GGA.

Unit cell a=7.6844 b=8.0926 c=13.3912 alpha=90.00 beta=124.50 gamma=90.00
Space group P2_1/c (No. 14)
Asymmetric unit:
K: 0.2218 0.0705 0.2491 [4 per cell]
Ba: 0.5000 0.0000 0.0000 [2 per cell]
Pu: 0.0000 0.0000 0.5000 [2 per cell]
Cl: 0.1093 0.2074 0.9261 [4 per cell]
Cl: 0.2245 0.6904 0.9292 [4 per cell]
Cl: 0.3747 0.0624 0.7386 [4 per cell]

Output
Total energy ... -4.984 eV/atom
Formation energy without anion corrections ... -2.031 eV per atom
Crystal system ... monoclinic